one) Crystalline Ti2Re2Mo3 at its relaxed geometry, computed with PBE.

a = 2.600 Å, b = 7.130 Å, c = 7.236 Å
α = 121.63°, β = 100.35°, γ = 90.00°
Fractional coordinates of all 7 atoms:
Ti  0.569  0.920  0.138
Ti  0.431  0.080  0.862
Re  0.856  0.651  0.711
Re  0.144  0.349  0.289
Mo  0.000  0.500  0.000
Mo  0.214  0.785  0.427
Mo  0.786  0.215  0.573

Results
space group	C2/m (12)

---

two) Crystalline Ti2Re2Mo3 at its relaxed geometry, computed with PBE.

a = 2.697 Å, b = 7.069 Å, c = 7.099 Å
α = 114.10°, β = 104.45°, γ = 103.74°
Fractional coordinates of all 7 atoms:
Ti  0.135  0.724  0.149
Ti  0.865  0.276  0.851
Re  0.202  0.149  0.441
Re  0.798  0.851  0.559
Mo  0.000  0.000  0.000
Mo  0.317  0.571  0.713
Mo  0.683  0.429  0.287

Results
space group	P-1 (2)

---

Stability comparison, relative energies in kJ/mol of atoms: one) 15.7; two) 0.0

---

one) Crystalline TiRe2Mo6 at its relaxed geometry, computed with PBE.

a = 7.059 Å, b = 5.307 Å, c = 5.307 Å
α = 59.76°, β = 64.32°, γ = 64.32°
Fractional coordinates of all 9 atoms:
Ti  0.000  0.000  0.000
Re  0.827  0.636  0.636
Re  0.173  0.364  0.364
Mo  0.245  0.353  0.847
Mo  0.420  0.768  0.768
Mo  0.245  0.847  0.353
Mo  0.755  0.647  0.153
Mo  0.580  0.232  0.232
Mo  0.755  0.153  0.647

Results
space group	C2/m (12)

---

two) Crystalline TiRe2Mo6 at its relaxed geometry, computed with PBE.

a = 4.387 Å, b = 4.387 Å, c = 9.309 Å
α = 76.37°, β = 76.37°, γ = 60.00°
Fractional coordinates of all 9 atoms:
Ti  0.000  0.000  0.000
Re  0.102  0.102  0.694
Re  0.898  0.898  0.306
Mo  0.401  0.401  0.798
Mo  0.197  0.197  0.409
Mo  0.298  0.298  0.106
Mo  0.803  0.803  0.591
Mo  0.599  0.599  0.202
Mo  0.702  0.702  0.894

Results
space group	R-3m (166)

---

Stability comparison, relative energies in kJ/mol of atoms: one) 20.0; two) 0.0

---

one) Crystalline Tl2ReMo at its relaxed geometry, computed with PBE.

a = 3.340 Å, b = 3.340 Å, c = 6.704 Å
α = 90.00°, β = 90.00°, γ = 90.00°
Fractional coordinates of all 4 atoms:
Mo  0.500  0.500  0.250
Re  0.500  0.500  0.750
Tl  0.000  0.000  0.996
Tl  0.000  0.000  0.504

Results
space group	P4/mmm (123)

---

two) Crystalline Tl2ReMo at its relaxed geometry, computed with PBE.

a = 3.079 Å, b = 5.180 Å, c = 4.840 Å
α = 90.00°, β = 90.00°, γ = 90.00°
Fractional coordinates of all 4 atoms:
Mo  0.500  0.000  0.500
Re  0.000  0.500  0.500
Tl  0.000  0.000  0.000
Tl  0.500  0.500  0.000

Results
space group	Pmmm (47)

---

Stability comparison, relative energies in kJ/mol of atoms: one) 12.3; two) 0.0

---

one) Crystalline Tl2ReMo at its relaxed geometry, computed with PBE.

a = 5.623 Å, b = 5.623 Å, c = 5.258 Å
α = 67.38°, β = 67.38°, γ = 33.47°
Fractional coordinates of all 4 atoms:
Mo  0.543  0.543  0.516
Re  0.207  0.207  0.234
Tl  0.980  0.980  0.058
Tl  0.770  0.770  0.691

Results
space group	Cm (8)

---

two) Crystalline Tl2ReMo at its relaxed geometry, computed with PBE.

a = 5.146 Å, b = 5.146 Å, c = 5.146 Å
α = 131.10°, β = 131.10°, γ = 71.65°
Fractional coordinates of all 4 atoms:
Mo  0.500  0.500  0.000
Re  0.750  0.250  0.500
Tl  0.000  0.000  0.000
Tl  0.250  0.750  0.500

Results
space group	I-4m2 (119)

---

Stability comparison, relative energies in kJ/mol of atoms: one) 0.0; two) 27.1

---

one) Crystalline Tl2ReMo at its relaxed geometry, computed with PBE.

a = 3.104 Å, b = 4.329 Å, c = 5.694 Å
α = 90.00°, β = 90.00°, γ = 90.00°
Fractional coordinates of all 4 atoms:
Mo  0.500  0.500  0.250
Re  0.500  0.500  0.750
Tl  0.000  0.000  0.999
Tl  0.000  0.000  0.501

Results
space group	Pmmm (47)

---

two) Crystalline Tl2ReMo at its relaxed geometry, computed with PBE.

a = 7.746 Å, b = 7.746 Å, c = 6.164 Å
α = 51.07°, β = 51.07°, γ = 90.00°
Fractional coordinates of all 8 atoms:
Re  0.000  0.000  0.000
Re  0.750  0.250  0.500
Tl  0.631  0.125  0.250
Tl  0.119  0.625  0.250
Tl  0.375  0.369  0.750
Tl  0.875  0.881  0.750
Mo  0.500  0.500  0.000
Mo  0.250  0.750  0.500

Results
space group	I-42d (122)

---

Stability comparison, relative energies in kJ/mol of atoms: one) 0.0; two) 24.2

---

one) Crystalline Tl3ReMo at its relaxed geometry, computed with PBE.

a = 5.310 Å, b = 5.310 Å, c = 5.310 Å
α = 90.00°, β = 90.00°, γ = 90.00°
Fractional coordinates of all 5 atoms:
Re  0.000  0.000  0.000
Tl  0.000  0.500  0.000
Tl  0.000  0.000  0.500
Tl  0.500  0.000  0.000
Mo  0.500  0.500  0.500

Results
space group	Pm-3m (221)

---

two) Crystalline Tl3ReMo at its relaxed geometry, computed with PBE.

a = 5.353 Å, b = 5.353 Å, c = 5.353 Å
α = 90.00°, β = 90.00°, γ = 90.00°
Fractional coordinates of all 5 atoms:
Re  0.500  0.500  0.500
Tl  0.000  0.500  0.000
Tl  0.000  0.000  0.500
Tl  0.500  0.000  0.000
Mo  0.000  0.000  0.000

Results
space group	Pm-3m (221)

---

Stability comparison, relative energies in kJ/mol of atoms: one) 0.0; two) 28.6

---

one) Crystalline URe2Mo at its relaxed geometry, computed with PBE.

a = 2.831 Å, b = 2.831 Å, c = 9.855 Å
α = 81.74°, β = 81.74°, γ = 60.00°
Fractional coordinates of all 4 atoms:
Re  0.742  0.742  0.774
Re  0.258  0.258  0.226
Mo  0.000  0.000  0.000
U  0.500  0.500  0.500

Results
space group	R-3m (166)

---

two) Crystalline URe2Mo at its relaxed geometry, computed with PBE.

a = 3.216 Å, b = 4.624 Å, c = 4.624 Å
α = 90.00°, β = 90.00°, γ = 90.00°
Fractional coordinates of all 4 atoms:
Re  0.000  0.000  0.500
Re  0.000  0.500  0.000
Mo  0.500  0.500  0.500
U  0.500  0.000  0.000

Results
space group	P4/mmm (123)

---

three) Crystalline URe2Mo at its relaxed geometry, computed with PBE.

a = 3.055 Å, b = 3.055 Å, c = 7.370 Å
α = 90.00°, β = 90.00°, γ = 90.00°
Fractional coordinates of all 4 atoms:
Re  0.000  0.000  0.785
Re  0.000  0.000  0.215
Mo  0.500  0.500  0.000
U  0.500  0.500  0.500

Results
space group	P4/mmm (123)

---

Stability comparison, relative energies in kJ/mol of atoms: one) 16.8; two) 4.7; three) 0.0

---

one) Crystalline UReMo2 at its relaxed geometry, computed with PBE.

a = 3.160 Å, b = 4.659 Å, c = 4.659 Å
α = 90.00°, β = 90.00°, γ = 90.00°
Fractional coordinates of all 4 atoms:
Re  0.500  0.000  0.000
Mo  0.000  0.000  0.500
Mo  0.000  0.500  0.000
U  0.500  0.500  0.500

Results
space group	P4/mmm (123)

---

two) Crystalline UReMo2 at its relaxed geometry, computed with PBE.

a = 4.602 Å, b = 4.602 Å, c = 4.602 Å
α = 60.00°, β = 60.00°, γ = 60.00°
Fractional coordinates of all 4 atoms:
Re  0.500  0.500  0.500
Mo  0.250  0.250  0.250
Mo  0.750  0.750  0.750
U  0.000  0.000  0.000

Results
space group	Fm-3m (225)

---

three) Crystalline UReMo2 at its relaxed geometry, computed with PBE.

a = 3.011 Å, b = 3.011 Å, c = 7.725 Å
α = 90.00°, β = 90.00°, γ = 90.00°
Fractional coordinates of all 4 atoms:
Re  0.500  0.500  0.000
Mo  0.000  0.000  0.788
Mo  0.000  0.000  0.212
U  0.500  0.500  0.500

Results
space group	P4/mmm (123)

---

Stability comparison, relative energies in kJ/mol of atoms: one) 0.0; two) 6.8; three) 5.2

---

one) Crystalline V4ReMo2 at its relaxed geometry, computed with PBE.

a = 6.880 Å, b = 6.881 Å, c = 6.886 Å
α = 134.98°, β = 102.82°, γ = 94.03°
Fractional coordinates of all 14 atoms:
V  0.891  0.137  0.247
V  0.381  0.661  0.281
V  0.869  0.650  0.781
V  0.776  0.989  0.712
V  0.277  0.988  0.213
V  0.360  0.104  0.746
V  0.474  0.686  0.712
V  0.973  0.686  0.211
Re  0.113  0.727  0.612
Re  0.136  0.248  0.112
Mo  0.614  0.308  0.693
Mo  0.636  0.829  0.193
Mo  0.625  0.368  0.244
Mo  0.125  0.368  0.743

Results
space group	P1 (1)

---

two) Crystalline V4ReMo2 at its relaxed geometry, computed with PBE.

a = 4.544 Å, b = 4.544 Å, c = 6.933 Å
α = 70.87°, β = 70.87°, γ = 90.00°
Fractional coordinates of all 7 atoms:
Re  0.000  0.000  0.000
Mo  0.379  0.379  0.243
Mo  0.621  0.621  0.757
V  0.196  0.196  0.608
V  0.804  0.804  0.392
V  0.000  0.500  0.000
V  0.500  0.000  0.000

Results
space group	I4/mmm (139)

---

three) Crystalline V4ReMo2 at its relaxed geometry, computed with PBE.

a = 2.594 Å, b = 6.758 Å, c = 6.951 Å
α = 59.97°, β = 81.23°, γ = 95.11°
Fractional coordinates of all 7 atoms:
V  0.030  0.290  0.571
V  0.970  0.710  0.429
V  0.406  0.430  0.851
V  0.594  0.570  0.149
Re  0.000  0.000  0.000
Mo  0.245  0.848  0.715
Mo  0.755  0.152  0.285

Results
space group	P-1 (2)

---

Stability comparison, relative energies in kJ/mol of atoms: one) 25.2; two) 113.9; three) 0.0

---

one) Crystalline V4ReMo at its relaxed geometry, computed with PBE.

a = 5.054 Å, b = 5.054 Å, c = 7.545 Å
α = 90.00°, β = 90.00°, γ = 117.48°
Fractional coordinates of all 12 atoms:
V  0.894  0.895  0.333
V  0.606  0.105  0.833
V  0.605  0.606  0.666
V  0.895  0.394  0.166
V  0.106  0.105  0.667
V  0.394  0.895  0.167
V  0.395  0.394  0.334
V  0.105  0.606  0.834
Re  0.000  0.000  0.000
Re  0.500  0.000  0.500
Mo  0.500  0.500  0.000
Mo  0.000  0.500  0.500

Results
space group	P2_1/c (14)

---

two) Crystalline V4ReMo at its relaxed geometry, computed with PBE.

a = 4.154 Å, b = 4.155 Å, c = 5.891 Å
α = 89.98°, β = 89.98°, γ = 90.00°
Fractional coordinates of all 6 atoms:
V  0.501  0.997  0.250
V  0.501  0.997  0.746
V  0.001  0.497  0.746
V  0.001  0.497  0.250
Re  0.001  0.997  0.498
Mo  0.501  0.497  0.998

Results
space group	P4/mmm (123)

---

three) Crystalline V4ReMo at its relaxed geometry, computed with PBE.

a = 4.921 Å, b = 4.921 Å, c = 4.921 Å
α = 60.00°, β = 60.00°, γ = 60.00°
Fractional coordinates of all 6 atoms:
Re  0.000  0.000  0.000
Mo  0.250  0.250  0.250
V  0.625  0.625  0.125
V  0.625  0.125  0.625
V  0.625  0.625  0.625
V  0.125  0.625  0.625

Results
space group	F-43m (216)

---

Stability comparison, relative energies in kJ/mol of atoms: one) 0.0; two) 72.0; three) 10.0

---

one) Crystalline V2ReMo6 at its relaxed geometry, computed with PBE.

a = 4.511 Å, b = 5.366 Å, c = 9.109 Å
α = 134.98°, β = 104.45°, γ = 90.00°
Fractional coordinates of all 9 atoms:
V  0.900  0.326  0.801
V  0.100  0.674  0.199
Re  0.000  0.000  0.000
Mo  0.708  0.075  0.417
Mo  0.292  0.925  0.583
Mo  0.303  0.458  0.605
Mo  0.497  0.251  0.994
Mo  0.503  0.749  0.006
Mo  0.697  0.542  0.395

Results
space group	P-1 (2)

---

two) Crystalline V2ReMo6 at its relaxed geometry, computed with PBE.

a = 4.470 Å, b = 7.806 Å, c = 7.938 Å
α = 90.00°, β = 90.00°, γ = 90.00°
Fractional coordinates of all 18 atoms:
V  0.000  0.338  0.767
V  0.500  0.838  0.733
V  0.500  0.162  0.267
V  0.000  0.662  0.233
Re  0.500  0.500  0.000
Re  0.000  0.000  0.500
Mo  0.000  0.999  0.169
Mo  0.000  0.665  0.569
Mo  0.000  0.665  0.901
Mo  0.500  0.165  0.599
Mo  0.500  0.165  0.931
Mo  0.500  0.499  0.331
Mo  0.000  0.001  0.831
Mo  0.000  0.335  0.431
Mo  0.000  0.335  0.099
Mo  0.500  0.835  0.401
Mo  0.500  0.835  0.069
Mo  0.500  0.501  0.669

Results
space group	Pnnm (58)

---

Stability comparison, relative energies in kJ/mol of atoms: one) 35.9; two) 0.0